NiPRu2F: optimized geometry, GGA+U.

abc: 4.0739 4.2070 4.0739
angles: 90.00 90.00 90.00
Closest atoms and distances in Å follow each position.
Atoms (fractional coordinates):
Ru 0.0000 0.0000 0.5000  2 F 2.04
Ru 0.5000 0.0000 0.0000  2 F 2.04
F 0.0000 0.0000 0.0000  4 Ru 2.04, 2 P 2.10
P 0.0000 0.5000 0.0000  2 F 2.10
Ni 0.5000 0.5000 0.5000  4 P 2.88, 8 Ru 2.93

- ΔE to the lowest computed polymorph (eV per atom) = 0.862
- calculated total energy (eV per atom) = -4.39